Record 1
3
Lattice="0.000 3.049 3.049 3.049 0.000 3.049 3.049 3.049 0.000" Properties=species:S:1:pos:R:3 comment="PBE AgPtW, optimized geometry" formation_enthalpy_0k_mev_per_atom=615 relative_energy_ev_per_fu=0.000 space_group="F-43m, No. 216" pbc="T T T"
Ag 0.000 0.000 0.000
Pt 1.525 1.525 1.525
W 3.049 3.049 3.049


Record 2
9
Lattice="3.666 -2.298 0.000 3.666 2.298 0.000 -2.248 0.000 9.499" Properties=species:S:1:pos:R:3 comment="PBE AgPt6W2, optimized geometry" formation_enthalpy_0k_mev_per_atom=51 space_group="C2/m, No. 12" pbc="T T T"
Ag 0.000 0.000 0.000
Pt -0.913 0.000 6.960
Pt 1.328 0.000 5.395
Pt 1.655 0.000 8.102
Pt 3.429 0.000 1.397
Pt 3.756 0.000 4.104
Pt 5.997 0.000 2.539
W 1.187 0.000 2.808
W 3.897 0.000 6.691


Record 3
3
Lattice="0.000 3.068 3.068 3.068 0.000 3.068 3.068 3.068 0.000" Properties=species:S:1:pos:R:3 comment="PBE AgPtW, optimized geometry" formation_enthalpy_0k_mev_per_atom=817 relative_energy_ev_per_fu=0.608 space_group="F-43m, No. 216" pbc="T T T"
Ag 0.000 0.000 0.000
Pt 3.068 3.068 3.068
W 1.534 1.534 1.534


Record 4
4
Lattice="0.000 3.399 3.399 3.399 0.000 3.399 3.399 3.399 0.000" Properties=species:S:1:pos:R:3 comment="PBE YAg2Pt, optimized geometry" formation_enthalpy_0k_mev_per_atom=-501 space_group="F-43m, No. 216" pbc="T T T"
Y 0.000 0.000 0.000
Ag 1.699 1.699 1.699
Ag 3.399 3.399 3.399
Pt 5.098 5.098 5.098